# 1
First-principles (PBE) data for a geometry-optimized BeWCl2 structure, as listed in Alexandria.

Lattice parameters (Å, degrees): 2.8883 3.7386 5.7101 90.00 90.00 90.00
With the nearest neighbours (Å) after each atom.
Space group Pmmm (No. 47)
Symmetry-distinct sites (fractional):
Be1 0.0000 0.0000 0.0000 [1 per cell]  8 Cl 2.79, 2 W 2.86, 2 Be 2.89
W1 0.0000 0.0000 0.5000 [1 per cell]  8 Cl 2.73, 2 Be 2.86, 2 W 2.89
Cl1 0.5000 0.5000 0.2588 [2 per cell]  4 W 2.73, 4 Cl 2.75-2.96, 4 Be 2.79

Values from the calculation:
ΔE_f (raw) = 1.105 eV/atom
Total magnetic moment = 0.0 μB/f.u.
Energy relative to the lowest polymorph listed for this composition = 1284 meV per atom
Mass density = 7.10 Mg/m³
Raw total energy = -3.99 eV/atom



# 2
First-principles (PBE) data for a geometry-optimized B3HS structure, as listed in Alexandria.

Lattice parameters (Å, degrees): 3.7549 3.7549 3.7549 90.00 90.00 90.00
With the nearest neighbours (Å) after each atom.
Space group Pm-3m (No. 221)
Symmetry-distinct sites (fractional):
B1 0.0000 0.0000 0.5000 [3 per cell]  2 S 1.88
H1 0.5000 0.5000 0.5000 [1 per cell]  12 B 2.66
S1 0.0000 0.0000 0.0000 [1 per cell]  6 B 1.88

Values from the calculation:
Total magnetic moment = 0.0 μB/f.u.
Energy relative to the lowest polymorph listed for this composition = 247 meV per atom
Mass density = 2.05 Mg/m³
Raw total energy = -3.31 eV/atom



# 3
First-principles (PBE) data for a geometry-optimized Pr4Nd3Dy2 structure, as listed in Alexandria.

Lattice parameters (Å, degrees): 16.0059 3.6667 10.9821 90.00 103.23 90.00
With the nearest neighbours (Å) after each atom.
Space group C2/m (No. 12)
Symmetry-distinct sites (fractional):
Pr1 0.0012 0.0000 0.3324 [4 per cell]  5 Nd 3.65-3.71, 2 Dy 3.65, 5 Pr 3.67-3.69
Pr2 0.1673 0.5000 0.8890 [4 per cell]  6 Pr 3.65-3.68, 3 Dy 3.66, 3 Nd 3.66-3.68
Nd1 0.0000 0.0000 0.0000 [2 per cell]  6 Pr 3.65-3.68, 2 Nd 3.67, 4 Dy 3.67
Nd2 0.1683 0.5000 0.5561 [4 per cell]  4 Nd 3.63-3.67, 3 Dy 3.65-3.66, 5 Pr 3.66-3.71
Dy1 0.1668 0.5000 0.2222 [4 per cell]  5 Nd 3.65-3.67, 5 Pr 3.65-3.66, 2 Dy 3.67

Values from the calculation:
Total magnetic moment = 0.0 μB/f.u.
Energy relative to the lowest polymorph listed for this composition = 0 meV per atom
Mass density = 6.99 Mg/m³
Raw total energy = -4.72 eV/atom



# 4
First-principles (PBE) data for a geometry-optimized Sc3Sb2S2 structure, as listed in Alexandria.

Lattice parameters (Å, degrees): 14.5414 3.7412 7.3049 90.00 115.68 90.00
With the nearest neighbours (Å) after each atom.
Space group C2/m (No. 12)
Symmetry-distinct sites (fractional):
Sc1 0.0000 0.0000 0.0000 [2 per cell]  2 S 2.62
Sc2 0.2287 0.5000 0.7744 [4 per cell]  3 S 2.52-2.60
Sb1 0.1325 0.5000 0.3234 [4 per cell]  5 Sc 2.97-3.05
S1 0.1343 0.0000 0.8510 [4 per cell]  4 Sc 2.52-2.62

Values from the calculation:
ΔE_f (raw) = -1.246 eV/atom
Total magnetic moment = 0.0 μB/f.u.
Mass density = 4.10 Mg/m³
Raw total energy = -6.32 eV/atom



# 5
First-principles (PBE) data for a geometry-optimized Ca4Be2V structure, as listed in Alexandria.

Lattice parameters (Å, degrees): 5.7253 5.7253 13.8202 90.00 90.00 90.00
With the nearest neighbours (Å) after each atom.
Space group I4/mmm (No. 139)
Symmetry-distinct sites (fractional):
Ca1 0.0000 0.0000 0.2186 [4 per cell]  1 Be 2.86, 1 V 3.02
Ca2 0.0000 0.5000 0.0000 [4 per cell]  2 V 2.86, 4 Be 3.04
Be1 0.0000 0.0000 0.4259 [4 per cell]  1 Be 2.05
V1 0.0000 0.0000 0.0000 [2 per cell]  6 Ca 2.86-3.02

Values from the calculation:
Total magnetic moment = 4.5 μB/f.u.
Mass density = 1.68 Mg/m³
Raw total energy = -2.73 eV/atom



# 6
First-principles (PBE) data for a geometry-optimized BaCa2S structure, as listed in Alexandria.

Lattice parameters (Å, degrees): 9.7256 9.7256 6.6077 90.00 90.00 90.00
With the nearest neighbours (Å) after each atom.
Space group I-42d (No. 122)
Symmetry-distinct sites (fractional):
Ba1 0.0000 0.0000 0.0000 [4 per cell]  2 S 3.30
Ca1 0.1325 0.7500 0.6250 [8 per cell]  2 S 2.87
S1 0.0000 0.0000 0.5000 [4 per cell]  4 Ca 2.87

Values from the calculation:
ΔE_f (raw) = -0.746 eV/atom
Total magnetic moment = 0.0 μB/f.u.
Mass density = 2.65 Mg/m³
Raw total energy = -3.26 eV/atom